Record 1
Nb6TeS12, optimized geometry, DFT PBE-GGA; total magnetic moment = 3.41 μB/f.u.; symmetry = No. 166; raw formation energy = -0.5481 eV/atom
1.0
5.775 3.334 3.217
-5.775 3.334 3.217
0.000 -6.669 3.217
Nb Te S
6 1 12
direct
0.243 0.243 0.649 Nb
0.243 0.649 0.243 Nb
0.351 0.757 0.757 Nb
0.649 0.243 0.243 Nb
0.757 0.351 0.757 Nb
0.757 0.757 0.351 Nb
0.000 0.000 0.000 Te
0.127 0.500 0.873 S
0.127 0.873 0.500 S
0.177 0.463 0.463 S
0.463 0.177 0.463 S
0.463 0.463 0.177 S
0.500 0.127 0.873 S
0.500 0.873 0.127 S
0.537 0.537 0.823 S
0.537 0.823 0.537 S
0.823 0.537 0.537 S
0.873 0.127 0.500 S
0.873 0.500 0.127 S

=====

Record 2
Ho6Te5S, optimized geometry, DFT PBE-GGA; total magnetic moment = 0.00 μB/f.u.; symmetry = No. 12; raw formation energy = -1.3927 eV/atom
1.0
3.715 -6.424 0.000
3.715 6.424 0.000
-2.439 0.000 6.941
Ho Te S
6 5 1
direct
0.071 0.363 0.720 Ho
0.211 0.211 0.268 Ho
0.363 0.071 0.720 Ho
0.637 0.929 0.280 Ho
0.789 0.789 0.732 Ho
0.929 0.637 0.280 Ho
0.179 0.821 0.000 Te
0.336 0.664 0.500 Te
0.500 0.500 0.000 Te
0.664 0.336 0.500 Te
0.821 0.179 0.000 Te
0.000 0.000 0.500 S

=====

Record 3
Pm4HfAs5, optimized geometry, DFT PBE-GGA; total magnetic moment = 0.00 μB/f.u.; symmetry = No. 87; E_tot = -6.617 eV per atom
1.0
-4.632 4.632 2.943
4.632 -4.632 2.943
4.632 4.632 -2.943
Pm Hf As
4 1 5
direct
0.095 0.301 0.396 Pm
0.301 0.905 0.205 Pm
0.699 0.095 0.795 Pm
0.905 0.699 0.604 Pm
0.500 0.500 0.000 Hf
0.000 0.000 0.000 As
0.215 0.596 0.811 As
0.404 0.215 0.619 As
0.596 0.785 0.381 As
0.785 0.404 0.189 As

=====

Record 4
RhPb3Cl, optimized geometry, DFT PBE-GGA; total magnetic moment = 0.00 μB/f.u.; symmetry = No. 221; raw formation energy = 0.7403 eV/atom; energy above the lowest structure with this stoichiometry = 872 meV per atom
1.0
5.389 0.000 0.000
0.000 5.389 0.000
0.000 0.000 5.389
Rh Pb Cl
1 3 1
direct
0.000 0.000 0.000 Rh
0.000 0.500 0.500 Pb
0.500 0.000 0.500 Pb
0.500 0.500 0.000 Pb
0.500 0.500 0.500 Cl

=====

Record 5
CaPmPd, optimized geometry, DFT PBE-GGA; total magnetic moment = 0.00 μB/f.u.; symmetry = No. 107; energy above the lowest structure with this stoichiometry = 49 meV per atom
1.0
-1.810 1.810 6.533
1.810 -1.810 6.533
1.810 1.810 -6.533
Ca Pm Pd
1 1 1
direct
0.000 0.000 0.000 Ca
0.262 0.262 0.000 Pm
0.643 0.643 0.000 Pd

=====

Record 6
SrLi6Tl4, optimized geometry, DFT PBE-GGA; total magnetic moment = 0.00 μB/f.u.; symmetry = No. 187; E_tot = -2.283 eV per atom
1.0
7.883 0.000 0.000
-3.942 6.827 0.000
0.000 0.000 4.749
Sr Li Tl
1 6 4
direct
0.000 0.000 0.000 Sr
0.212 0.424 0.500 Li
0.212 0.788 0.500 Li
0.539 0.077 0.000 Li
0.539 0.461 0.000 Li
0.576 0.788 0.500 Li
0.923 0.461 0.000 Li
0.333 0.667 0.000 Tl
0.396 0.198 0.500 Tl
0.802 0.198 0.500 Tl
0.802 0.604 0.500 Tl